First-principles (PBE-GGA) data for a relaxed Ba2LiAs2S6 crystal, as listed in Alexandria.

abc: 12.2436 6.8855 8.0236
angles: 90.00 118.99 90.00
Space group C2/m (No. 12)
Inequivalent atoms, fractional coordinates:
Ba1 0.2131 0.0000 0.2127 [4 per cell]
Li1 0.0000 0.0000 0.5000 [2 per cell]
As1 0.0229 0.5000 0.1777 [4 per cell]
S1 0.0614 0.2220 0.7886 [8 per cell]
S2 0.2286 0.5000 0.3505 [4 per cell]

Calculated values
* total magnetic moment: 0.00 Bohr magnetons per cell
* ΔE_f (raw): -978 meV/atom
* calculated density: 3.50 g/cm3


First-principles (PBE-GGA) data for a relaxed AcMgHgSb crystal, as listed in Alexandria.

abc: 7.7557 7.7557 7.7557
angles: 90.00 90.00 90.00
Space group F-43m (No. 216)
Inequivalent atoms, fractional coordinates:
Ac1 0.0000 0.0000 0.0000 [4 per cell]
Mg1 0.0000 0.0000 0.5000 [4 per cell]
Hg1 0.2500 0.2500 0.7500 [4 per cell]
Sb1 0.2500 0.2500 0.2500 [4 per cell]

Calculated values
* total magnetic moment: 0.00 Bohr magnetons per cell
* ΔE_f (raw): -462 meV/atom
* calculated density: 8.17 g/cm3


First-principles (PBE-GGA) data for a relaxed LiPr2In4 crystal, as listed in Alexandria.

abc: 5.2435 18.0947 4.7444
angles: 90.00 90.00 90.00
Space group Cmmm (No. 65)
Inequivalent atoms, fractional coordinates:
Li1 0.0000 0.0000 0.0000 [2 per cell]
Pr1 0.0000 0.3209 0.5000 [4 per cell]
In1 0.0000 0.0816 0.5000 [4 per cell]
In2 0.0000 0.1881 0.0000 [4 per cell]

Calculated values
* total magnetic moment: 0.00 Bohr magnetons per cell
* calculated density: 5.52 g/cm3
* calculated formation energy: -2.58 kcal/mol of atoms


First-principles (PBE-GGA) data for a relaxed Zr2Ir2Pd crystal, as listed in Alexandria.

abc: 7.7473 7.7473 3.1150
angles: 90.00 90.00 90.00
Space group P4/mbm (No. 127)
Inequivalent atoms, fractional coordinates:
Zr1 0.1575 0.3425 0.0000 [4 per cell]
Ir1 0.1382 0.6382 0.5000 [4 per cell]
Pd1 0.0000 0.0000 0.0000 [2 per cell]

Calculated values
* total magnetic moment: 0.00 Bohr magnetons per cell
* calculated density: 11.96 g/cm3
* calculated formation energy: -11.92 kcal/mol of atoms


First-principles (PBE-GGA) data for a relaxed KUCuO4 crystal, as listed in Alexandria.

abc: 6.1729 6.9339 10.9190
angles: 90.00 90.00 90.00
Space group Imma (No. 74)
Inequivalent atoms, fractional coordinates:
K1 0.0000 0.2500 0.1813 [4 per cell]
U1 0.0000 0.0000 0.5000 [4 per cell]
Cu1 0.2500 0.2500 0.7500 [4 per cell]
O1 0.0000 0.0562 0.6828 [8 per cell]
O2 0.2053 0.2500 0.4790 [8 per cell]

Calculated values
* total magnetic moment: 0.13 Bohr magnetons per cell
* ΔE_f (raw): -2149 meV/atom
* calculated density: 5.75 g/cm3


First-principles (PBE-GGA) data for a relaxed NaIn3Pb crystal, as listed in Alexandria.

abc: 6.9205 7.1261 7.1634
angles: 90.00 116.15 90.00
Space group Cm (No. 8)
Inequivalent atoms, fractional coordinates:
Na1 0.0000 0.0000 0.0000 [2 per cell]
In1 0.0098 0.2181 0.5025 [4 per cell]
In2 0.4264 0.0000 0.7598 [2 per cell]
Pb1 0.0789 0.5000 0.2160 [2 per cell]

Calculated values
* total magnetic moment: 0.00 Bohr magnetons per cell
* calculated density: 6.02 g/cm3
* calculated formation energy: -0.25 kcal/mol of atoms


First-principles (PBE-GGA) data for a relaxed BaY2Tl crystal, as listed in Alexandria.

abc: 8.1954 8.1954 8.1954
angles: 90.00 90.00 90.00
Space group F-43m (No. 216)
Inequivalent atoms, fractional coordinates:
Ba1 0.0000 0.0000 0.0000 [4 per cell]
Y1 0.0000 0.0000 0.5000 [4 per cell]
Y2 0.2500 0.2500 0.2500 [4 per cell]
Tl1 0.2500 0.2500 0.7500 [4 per cell]

Calculated values
* total magnetic moment: 3.09 Bohr magnetons per cell
* calculated density: 6.27 g/cm3
* calculated formation energy: 2.10 kcal/mol of atoms


First-principles (PBE-GGA) data for a relaxed RbSnHgBi crystal, as listed in Alexandria.

abc: 8.1429 8.1429 8.1429
angles: 90.00 90.00 90.00
Space group F-43m (No. 216)
Inequivalent atoms, fractional coordinates:
Rb1 0.0000 0.0000 0.0000 [4 per cell]
Sn1 0.0000 0.0000 0.5000 [4 per cell]
Hg1 0.2500 0.2500 0.2500 [4 per cell]
Bi1 0.2500 0.2500 0.7500 [4 per cell]

Calculated values
* total magnetic moment: 0.00 Bohr magnetons per cell
* calculated density: 7.55 g/cm3
* calculated formation energy: -1.90 kcal/mol of atoms


First-principles (PBE-GGA) data for a relaxed LiEuPuRh crystal, as listed in Alexandria.

abc: 7.0925 7.0925 7.0925
angles: 90.00 90.00 90.00
Space group F-43m (No. 216)
Inequivalent atoms, fractional coordinates:
Li1 0.0000 0.0000 0.0000 [4 per cell]
Eu1 0.2500 0.2500 0.2500 [4 per cell]
Pu1 0.2500 0.2500 0.7500 [4 per cell]
Rh1 0.0000 0.0000 0.5000 [4 per cell]

Calculated values
* total magnetic moment: 51.09 Bohr magnetons per cell
* calculated density: 9.42 g/cm3
* calculated formation energy: -2.84 kcal/mol of atoms


First-principles (PBE-GGA) data for a relaxed YHoAlZn crystal, as listed in Alexandria.

abc: 7.1760 7.1760 7.1760
angles: 90.00 90.00 90.00
Space group F-43m (No. 216)
Inequivalent atoms, fractional coordinates:
Y1 0.0000 0.0000 0.0000 [4 per cell]
Ho1 0.0000 0.0000 0.5000 [4 per cell]
Al1 0.2500 0.2500 0.7500 [4 per cell]
Zn1 0.2500 0.2500 0.2500 [4 per cell]

Calculated values
* total magnetic moment: 0.00 Bohr magnetons per cell
* calculated density: 6.22 g/cm3
* calculated formation energy: -8.94 kcal/mol of atoms


First-principles (PBE-GGA) data for a relaxed ScZn2Tc2 crystal, as listed in Alexandria.

abc: 7.4519 7.4519 2.9457
angles: 90.00 90.00 90.00
Space group P4/mbm (No. 127)
Inequivalent atoms, fractional coordinates:
Sc1 0.0000 0.0000 0.0000 [2 per cell]
Zn1 0.1823 0.3177 0.5000 [4 per cell]
Tc1 0.1110 0.6110 0.0000 [4 per cell]

Calculated values
* total magnetic moment: 0.21 Bohr magnetons per cell
* calculated density: 7.55 g/cm3
* calculated formation energy: 1.79 kcal/mol of atoms


First-principles (PBE-GGA) data for a relaxed HgB3Se crystal, as listed in Alexandria.

abc: 4.4176 4.4176 4.4176
angles: 90.00 90.00 90.00
Space group Pm-3m (No. 221)
Inequivalent atoms, fractional coordinates:
Hg1 0.0000 0.0000 0.0000 [1 per cell]
B1 0.0000 0.0000 0.5000 [3 per cell]
Se1 0.5000 0.5000 0.5000 [1 per cell]

Calculated values
* total magnetic moment: 0.00 Bohr magnetons per cell
* ΔE_f (raw): 2151 meV/atom
* calculated density: 6.01 g/cm3


Calculated total energy
In order: -101.164 -47.908 -46.422 -85.192 -205.425 -26.595 -67.413 -37.933 -137.458 -70.437 -58.446 -13.064
Unit: eV per cell